Here is crystalline Ho2PuThBi4 at its relaxed geometry from Alexandria via LeMat-Bulk. Energies are from GGA-PBE.

Calculated values
Calculated density (g cm⁻³): 10.43
Calculated total energy (eV per atom): -6.4672
ΔE_f (kcal/mol of atoms): -15.296

Cell lengths 7.8144, 4.5289, 7.8361 Å; angles 90.00, 109.52, 90.00 degrees
With the nearest neighbours (Å) after each atom.
Space group P2/m (No. 10)
Inequivalent atoms, fractional coordinates:
1 Ho 0.0000 0.0000 0.0000 [1 per cell]  6 Bi 3.17
2 Ho 0.0000 0.5000 0.5000 [1 per cell]  6 Bi 3.16
3 Pu 0.5000 0.0000 0.5000 [1 per cell]  6 Bi 3.22-3.23
4 Th 0.5000 0.5000 0.0000 [1 per cell]  6 Bi 3.23-3.24
5 Bi 0.2413 0.0000 0.7458 [2 per cell]  3 Ho 3.16-3.17, 1 Pu 3.23, 2 Th 3.24
6 Bi 0.2433 0.5000 0.2492 [2 per cell]  3 Ho 3.16-3.17, 2 Pu 3.22, 1 Th 3.23